1.
Entry from Alexandria: a relaxed Cs6Na8Li crystal (GGA-PBE).

E_form = 0.072 eV/atom
calculated total energy = -16.50 eV per cell
DOS at the Fermi energy = 14.4 states/eV/cell

```
data_Cs6Na8Li
_cell_length_a 10.259
_cell_length_b 10.259
_cell_length_c 10.259
_cell_angle_alpha 72.84
_cell_angle_beta 72.84
_cell_angle_gamma 72.84
_symmetry_space_group_name_H-M 'P 1'
_symmetry_Int_Tables_number 1
_symmetry_space_group_name_Hall 'P 1'
loop_
_atom_site_label
_atom_site_type_symbol
_atom_site_fract_x
_atom_site_fract_y
_atom_site_fract_z
Na1 Na 0.323 0.958 0.060
Na2 Na 0.760 0.760 0.760
Na3 Na 0.940 0.677 0.042
Na4 Na 0.958 0.060 0.323
Na5 Na 0.042 0.940 0.677
Na6 Na 0.240 0.240 0.240
Na7 Na 0.677 0.042 0.940
Na8 Na 0.060 0.323 0.958
Cs1 Cs 0.844 0.356 0.605
Cs2 Cs 0.156 0.644 0.395
Cs3 Cs 0.605 0.844 0.356
Cs4 Cs 0.356 0.605 0.844
Cs5 Cs 0.644 0.395 0.156
Cs6 Cs 0.395 0.156 0.644
Li1 Li 0.000 0.000 0.000
```

***

2.
Entry from Alexandria: a relaxed Ba2AgP crystal (GGA-PBE).

E_form = -0.079 eV/atom
calculated total energy = -12.42 eV per cell
DOS at the Fermi energy = 1.9 states/eV/cell

```
data_Ba2AgP
_cell_length_a 5.531
_cell_length_b 5.531
_cell_length_c 5.531
_cell_angle_alpha 60.00
_cell_angle_beta 60.00
_cell_angle_gamma 60.00
_symmetry_space_group_name_H-M 'P 1'
_symmetry_Int_Tables_number 1
_symmetry_space_group_name_Hall 'P 1'
loop_
_atom_site_label
_atom_site_type_symbol
_atom_site_fract_x
_atom_site_fract_y
_atom_site_fract_z
Ag1 Ag 0.500 0.500 0.500
P1 P 0.750 0.750 0.750
Ba1 Ba 0.000 0.000 0.000
Ba2 Ba 0.250 0.250 0.250
```

***

3.
Entry from Alexandria: a relaxed Rb3Tb2TmTe6 crystal (GGA-PBE).

calculated total energy = -52.04 eV per cell

```
data_Rb3Tb2TmTe6
_cell_length_a 7.832
_cell_length_b 7.832
_cell_length_c 8.942
_cell_angle_alpha 98.40
_cell_angle_beta 98.40
_cell_angle_gamma 120.00
_symmetry_space_group_name_H-M 'P 1'
_symmetry_Int_Tables_number 1
_symmetry_space_group_name_Hall 'P 1'
loop_
_atom_site_label
_atom_site_type_symbol
_atom_site_fract_x
_atom_site_fract_y
_atom_site_fract_z
Tb1 Tb 0.333 0.667 0.000
Tb2 Tb 0.667 0.333 0.000
Tm1 Tm 0.000 0.000 0.000
Te1 Te 0.737 0.737 0.199
Te2 Te 0.604 0.934 0.801
Te3 Te 0.066 0.396 0.199
Te4 Te 0.934 0.604 0.801
Te5 Te 0.396 0.066 0.199
Te6 Te 0.263 0.263 0.801
Rb1 Rb 0.168 0.832 0.500
Rb2 Rb 0.500 0.500 0.500
Rb3 Rb 0.832 0.168 0.500
```

***

4.
Entry from Alexandria: a relaxed NaNd3O4 crystal (GGA-PBE).

calculated total energy = -56.87 eV per cell
DOS at the Fermi energy = 2.0 states/eV/cell

```
data_NaNd3O4
_cell_length_a 4.980
_cell_length_b 4.980
_cell_length_c 4.980
_cell_angle_alpha 90.00
_cell_angle_beta 90.00
_cell_angle_gamma 90.00
_symmetry_space_group_name_H-M 'P 1'
_symmetry_Int_Tables_number 1
_symmetry_space_group_name_Hall 'P 1'
loop_
_atom_site_label
_atom_site_type_symbol
_atom_site_fract_x
_atom_site_fract_y
_atom_site_fract_z
Nd1 Nd 0.500 0.000 0.500
Nd2 Nd 0.000 0.500 0.500
Nd3 Nd 0.500 0.500 0.000
O1 O 0.000 0.500 0.000
O2 O 0.500 0.500 0.500
O3 O 0.500 0.000 0.000
O4 O 0.000 0.000 0.500
Na1 Na 0.000 0.000 0.000
```

***

5.
Entry from Alexandria: a relaxed LiSmGa4Pd2 crystal (GGA-PBE).

E_form = -0.629 eV/atom
calculated total energy = -34.16 eV per cell
DOS at the Fermi energy = 3.0 states/eV/cell

```
data_LiSmGa4Pd2
_cell_length_a 4.316
_cell_length_b 4.316
_cell_length_c 8.986
_cell_angle_alpha 76.10
_cell_angle_beta 76.10
_cell_angle_gamma 60.00
_symmetry_space_group_name_H-M 'P 1'
_symmetry_Int_Tables_number 1
_symmetry_space_group_name_Hall 'P 1'
loop_
_atom_site_label
_atom_site_type_symbol
_atom_site_fract_x
_atom_site_fract_y
_atom_site_fract_z
Ga1 Ga 0.399 0.399 0.803
Ga2 Ga 0.601 0.601 0.197
Ga3 Ga 0.870 0.870 0.389
Ga4 Ga 0.130 0.130 0.611
Pd1 Pd 0.234 0.234 0.297
Pd2 Pd 0.766 0.766 0.703
Li1 Li 0.500 0.500 0.500
Sm1 Sm 0.000 0.000 0.000
```

***

6.
Entry from Alexandria: a relaxed PuHf3Zr3 crystal (GGA-PBE).

E_form = 0.028 eV/atom
calculated total energy = -139.28 eV per cell
DOS at the Fermi energy = 17.5 states/eV/cell

```
data_PuHf3Zr3
_cell_length_a 5.208
_cell_length_b 8.452
_cell_length_c 8.452
_cell_angle_alpha 120.00
_cell_angle_beta 90.00
_cell_angle_gamma 90.00
_symmetry_space_group_name_H-M 'P 1'
_symmetry_Int_Tables_number 1
_symmetry_space_group_name_Hall 'P 1'
loop_
_atom_site_label
_atom_site_type_symbol
_atom_site_fract_x
_atom_site_fract_y
_atom_site_fract_z
Zr1 Zr 0.250 0.759 0.953
Zr2 Zr 0.750 0.241 0.047
Zr3 Zr 0.250 0.047 0.806
Zr4 Zr 0.750 0.806 0.759
Zr5 Zr 0.750 0.953 0.194
Zr6 Zr 0.250 0.194 0.241
Hf1 Hf 0.250 0.907 0.384
Hf2 Hf 0.750 0.384 0.477
Hf3 Hf 0.750 0.523 0.907
Hf4 Hf 0.250 0.477 0.093
Hf5 Hf 0.750 0.093 0.616
Hf6 Hf 0.250 0.616 0.523
Pu1 Pu 0.750 0.667 0.333
Pu2 Pu 0.250 0.333 0.667
```

***

7.
Entry from Alexandria: a relaxed Tb6Ag5 crystal (GGA-PBE).

E_form = -0.212 eV/atom
calculated total energy = -44.38 eV per cell
DOS at the Fermi energy = 7.6 states/eV/cell

```
data_Tb6Ag5
_cell_length_a 5.133
_cell_length_b 7.259
_cell_length_c 8.860
_cell_angle_alpha 114.18
_cell_angle_beta 106.84
_cell_angle_gamma 90.00
_symmetry_space_group_name_H-M 'P 1'
_symmetry_Int_Tables_number 1
_symmetry_space_group_name_Hall 'P 1'
loop_
_atom_site_label
_atom_site_type_symbol
_atom_site_fract_x
_atom_site_fract_y
_atom_site_fract_z
Ag1 Ag 0.000 0.500 0.000
Ag2 Ag 0.331 0.331 0.662
Ag3 Ag 0.330 0.830 0.661
Ag4 Ag 0.669 0.669 0.338
Ag5 Ag 0.670 0.170 0.339
Tb1 Tb 0.500 0.752 0.000
Tb2 Tb 0.500 0.248 0.000
Tb3 Tb 0.836 0.589 0.673
Tb4 Tb 0.837 0.084 0.673
Tb5 Tb 0.164 0.411 0.327
Tb6 Tb 0.163 0.916 0.327
```

***

8.
Entry from Alexandria: a relaxed Ti2CrSn crystal (GGA-PBE).

E_form = 0.050 eV/atom
calculated total energy = -29.22 eV per cell
DOS at the Fermi energy = 2.9 states/eV/cell

```
data_Ti2CrSn
_cell_length_a 3.075
_cell_length_b 3.075
_cell_length_c 8.644
_cell_angle_alpha 79.75
_cell_angle_beta 79.75
_cell_angle_gamma 60.00
_symmetry_space_group_name_H-M 'P 1'
_symmetry_Int_Tables_number 1
_symmetry_space_group_name_Hall 'P 1'
loop_
_atom_site_label
_atom_site_type_symbol
_atom_site_fract_x
_atom_site_fract_y
_atom_site_fract_z
Sn1 Sn 0.500 0.500 0.500
Ti1 Ti 0.737 0.737 0.788
Ti2 Ti 0.263 0.263 0.212
Cr1 Cr 0.000 0.000 0.000
```

***

9.
Entry from Alexandria: a relaxed Mg8TlPt2 crystal (GGA-PBE).

E_form = -0.403 eV/atom
energy above the lowest structure with this stoichiometry = 24 meV/atom
calculated total energy = -31.64 eV per cell
DOS at the Fermi energy = 4.1 states/eV/cell

```
data_Mg8TlPt2
_cell_length_a 5.061
_cell_length_b 7.268
_cell_length_c 7.268
_cell_angle_alpha 111.59
_cell_angle_beta 97.95
_cell_angle_gamma 97.95
_symmetry_space_group_name_H-M 'P 1'
_symmetry_Int_Tables_number 1
_symmetry_space_group_name_Hall 'P 1'
loop_
_atom_site_label
_atom_site_type_symbol
_atom_site_fract_x
_atom_site_fract_y
_atom_site_fract_z
Mg1 Mg 0.919 0.670 0.937
Mg2 Mg 0.500 0.253 0.747
Mg3 Mg 0.295 0.612 0.612
Mg4 Mg 0.500 0.747 0.253
Mg5 Mg 0.081 0.330 0.063
Mg6 Mg 0.705 0.388 0.388
Mg7 Mg 0.919 0.937 0.670
Mg8 Mg 0.081 0.063 0.330
Pt1 Pt 0.000 0.684 0.316
Pt2 Pt 0.000 0.316 0.684
Tl1 Tl 0.500 0.000 0.000
```

***

10.
Entry from Alexandria: a relaxed Cr2InSb crystal (GGA-PBE).

energy above the lowest structure with this stoichiometry = 233 meV/atom
calculated total energy = -24.27 eV per cell
DOS at the Fermi energy = 1.9 states/eV/cell

```
data_Cr2InSb
_cell_length_a 8.763
_cell_length_b 8.763
_cell_length_c 8.763
_cell_angle_alpha 21.87
_cell_angle_beta 21.87
_cell_angle_gamma 21.87
_symmetry_space_group_name_H-M 'P 1'
_symmetry_Int_Tables_number 1
_symmetry_space_group_name_Hall 'P 1'
loop_
_atom_site_label
_atom_site_type_symbol
_atom_site_fract_x
_atom_site_fract_y
_atom_site_fract_z
In1 In 0.250 0.250 0.250
Cr1 Cr 0.003 0.003 0.003
Cr2 Cr 0.497 0.497 0.497
Sb1 Sb 0.750 0.750 0.750
```

***

11.
Entry from Alexandria: a relaxed NdGd2Zn crystal (GGA-PBE).

E_form = -0.052 eV/atom
energy above the lowest structure with this stoichiometry = 112 meV/atom
calculated total energy = -34.41 eV per cell
DOS at the Fermi energy = 5.1 states/eV/cell

```
data_NdGd2Zn
_cell_length_a 4.866
_cell_length_b 4.797
_cell_length_c 4.797
_cell_angle_alpha 90.00
_cell_angle_beta 90.00
_cell_angle_gamma 90.00
_symmetry_space_group_name_H-M 'P 1'
_symmetry_Int_Tables_number 1
_symmetry_space_group_name_Hall 'P 1'
loop_
_atom_site_label
_atom_site_type_symbol
_atom_site_fract_x
_atom_site_fract_y
_atom_site_fract_z
Gd1 Gd 0.000 0.000 0.500
Gd2 Gd 0.000 0.500 0.000
Zn1 Zn 0.500 0.000 0.000
Nd1 Nd 0.500 0.500 0.500
```

***

12.
Entry from Alexandria: a relaxed Fe2Rh crystal (GGA-PBE).

E_form = 0.050 eV/atom
calculated total energy = -96.50 eV per cell
DOS at the Fermi energy = 20.0 states/eV/cell

```
data_Fe2Rh
_cell_length_a 11.625
_cell_length_b 11.625
_cell_length_c 11.625
_cell_angle_alpha 161.73
_cell_angle_beta 161.73
_cell_angle_gamma 25.96
_symmetry_space_group_name_H-M 'P 1'
_symmetry_Int_Tables_number 1
_symmetry_space_group_name_Hall 'P 1'
loop_
_atom_site_label
_atom_site_type_symbol
_atom_site_fract_x
_atom_site_fract_y
_atom_site_fract_z
Rh1 Rh 0.082 0.082 0.000
Rh2 Rh 0.332 0.832 0.500
Rh3 Rh 0.168 0.668 0.500
Rh4 Rh 0.918 0.918 0.000
Fe1 Fe 0.666 0.166 0.500
Fe2 Fe 0.834 0.334 0.500
Fe3 Fe 0.749 0.749 0.000
Fe4 Fe 0.501 0.001 0.500
Fe5 Fe 0.584 0.584 0.000
Fe6 Fe 0.251 0.251 0.000
Fe7 Fe 0.416 0.416 0.000
Fe8 Fe 0.999 0.499 0.500
```

***

13.
Entry from Alexandria: a relaxed SmZnSnPt3 crystal (GGA-PBE).

E_form = -0.540 eV/atom
calculated total energy = -62.72 eV per cell
DOS at the Fermi energy = 5.8 states/eV/cell

```
data_SmZnSnPt3
_cell_length_a 5.920
_cell_length_b 6.596
_cell_length_c 7.043
_cell_angle_alpha 117.92
_cell_angle_beta 90.00
_cell_angle_gamma 90.00
_symmetry_space_group_name_H-M 'P 1'
_symmetry_Int_Tables_number 1
_symmetry_space_group_name_Hall 'P 1'
loop_
_atom_site_label
_atom_site_type_symbol
_atom_site_fract_x
_atom_site_fract_y
_atom_site_fract_z
Sm1 Sm 0.250 0.694 0.387
Sm2 Sm 0.750 0.306 0.613
Pt1 Pt 0.500 0.282 0.000
Pt2 Pt 0.000 0.718 0.000
Pt3 Pt 0.500 0.718 0.000
Pt4 Pt 0.250 0.152 0.305
Pt5 Pt 0.000 0.282 0.000
Pt6 Pt 0.750 0.848 0.695
Zn1 Zn 0.250 0.933 0.866
Zn2 Zn 0.750 0.067 0.134
Sn1 Sn 0.250 0.360 0.719
Sn2 Sn 0.750 0.640 0.281
```

***

14.
Entry from Alexandria: a relaxed Be2NiMo crystal (GGA-PBE).

E_form = 0.022 eV/atom
energy above the lowest structure with this stoichiometry = 245 meV/atom
calculated total energy = -23.98 eV per cell
DOS at the Fermi energy = 2.5 states/eV/cell

```
data_Be2NiMo
_cell_length_a 4.351
_cell_length_b 4.351
_cell_length_c 4.351
_cell_angle_alpha 132.53
_cell_angle_beta 132.53
_cell_angle_gamma 69.40
_symmetry_space_group_name_H-M 'P 1'
_symmetry_Int_Tables_number 1
_symmetry_space_group_name_Hall 'P 1'
loop_
_atom_site_label
_atom_site_type_symbol
_atom_site_fract_x
_atom_site_fract_y
_atom_site_fract_z
Be1 Be 0.250 0.750 0.500
Be2 Be 0.000 0.000 0.000
Mo1 Mo 0.500 0.500 0.000
Ni1 Ni 0.750 0.250 0.500
```

***

15.
Entry from Alexandria: a relaxed BeTc2 crystal (GGA-PBE).

E_form = 0.419 eV/atom
energy above the lowest structure with this stoichiometry = 687 meV/atom
calculated total energy = -46.40 eV per cell
DOS at the Fermi energy = 5.5 states/eV/cell

```
data_BeTc2
_cell_length_a 3.015
_cell_length_b 4.858
_cell_length_c 5.328
_cell_angle_alpha 90.00
_cell_angle_beta 90.00
_cell_angle_gamma 90.00
_symmetry_space_group_name_H-M 'P 1'
_symmetry_Int_Tables_number 1
_symmetry_space_group_name_Hall 'P 1'
loop_
_atom_site_label
_atom_site_type_symbol
_atom_site_fract_x
_atom_site_fract_y
_atom_site_fract_z
Tc1 Tc 0.000 0.791 0.366
Tc2 Tc 0.000 0.209 0.634
Tc3 Tc 0.500 0.709 0.866
Tc4 Tc 0.500 0.291 0.134
Be1 Be 0.000 0.000 0.000
Be2 Be 0.500 0.500 0.500
```

***

16.
Entry from Alexandria: a relaxed Na2CdAu3 crystal (GGA-PBE).

E_form = -0.247 eV/atom
calculated total energy = -29.74 eV per cell
DOS at the Fermi energy = 3.4 states/eV/cell

```
data_Na2CdAu3
_cell_length_a 5.335
_cell_length_b 5.786
_cell_length_c 8.408
_cell_angle_alpha 85.50
_cell_angle_beta 89.99
_cell_angle_gamma 90.10
_symmetry_space_group_name_H-M 'P 1'
_symmetry_Int_Tables_number 1
_symmetry_space_group_name_Hall 'P 1'
loop_
_atom_site_label
_atom_site_type_symbol
_atom_site_fract_x
_atom_site_fract_y
_atom_site_fract_z
Au1 Au 0.751 0.343 0.464
Au2 Au 0.249 0.664 0.207
Au3 Au 0.751 0.336 0.793
Au4 Au 0.500 0.000 0.000
Au5 Au 0.000 0.000 0.000
Au6 Au 0.249 0.657 0.536
Cd1 Cd 0.250 0.568 0.876
Cd2 Cd 0.750 0.432 0.124
Na1 Na 0.750 0.854 0.331
Na2 Na 0.750 0.825 0.698
Na3 Na 0.250 0.146 0.669
Na4 Na 0.250 0.175 0.302
```

***

17.
Entry from Alexandria: a relaxed Dy4TmSc4 crystal (GGA-PBE).

E_form = 0.052 eV/atom
calculated total energy = -47.74 eV per cell
DOS at the Fermi energy = 13.9 states/eV/cell

```
data_Dy4TmSc4
_cell_length_a 4.820
_cell_length_b 7.629
_cell_length_c 7.629
_cell_angle_alpha 84.27
_cell_angle_beta 71.58
_cell_angle_gamma 71.58
_symmetry_space_group_name_H-M 'P 1'
_symmetry_Int_Tables_number 1
_symmetry_space_group_name_Hall 'P 1'
loop_
_atom_site_label
_atom_site_type_symbol
_atom_site_fract_x
_atom_site_fract_y
_atom_site_fract_z
Dy1 Dy 0.000 0.671 0.329
Dy2 Dy 0.671 0.329 0.329
Dy3 Dy 0.329 0.671 0.671
Dy4 Dy 0.000 0.329 0.671
Tm1 Tm 0.000 0.000 0.000
Sc1 Sc 0.334 0.332 0.000
Sc2 Sc 0.666 0.000 0.668
Sc3 Sc 0.666 0.668 0.000
Sc4 Sc 0.334 0.000 0.332
```

***

Record-wise total magnetization values, in μB/atom: 0.00 0.00 0.00 0.00 0.00 0.77 0.00 0.00 0.00 1.84 3.84 1.92 0.00 0.00 0.00 0.00 0.00